Here is BaMn2As after structural relaxation from Alexandria via LeMat-Bulk. Energies are from PBE.

Unit cell a=6.023 b=6.023 c=6.023 alpha=146.35 beta=123.63 gamma=67.27
Last column: magnetic moment on the atom in μB.
Positions (direct):
Ba: 0.250 0.750 0.500  -0.03
Mn: 0.939 0.939 0.000  3.83
Mn: 0.561 0.561 0.000  3.83
As: 0.750 0.250 0.500  -0.07

Computed properties:
For the total energy, the calculation gives -5.915 eV per atom. The value obtained for the spin magnetization is 7.9 μB/cell. For the density of states at the Fermi level, the calculation gives 3.52 states/eV/cell. The space group is Immm. The formation enthalpy at 0 K is 30 kJ/mol of atoms.